1.
9
Lattice="-4.018 0.668 -2.584 -0.104 -0.804 4.755 0.646 6.583 0.976" Properties=species:S:1:pos:R:3 comment="Cu5Ag4 PBE-GGA optimized geometry" sg=C2 e_tot_ev_per_atom=-3.218 de_polymorph_ev_per_atom=0.062 rho_kg_m3=9464 e_form_ev_per_atom=0.10 pbc="T T T"
Ag -2.319 3.992 3.691
Ag -1.413 -0.312 2.300
Ag 0.174 1.954 1.953
Ag -0.139 -0.791 4.690
Cu -1.099 2.440 -0.455
Cu -2.543 2.150 1.700
Cu -1.004 4.323 1.315
Cu -3.610 4.470 1.291
Cu -2.702 0.173 -0.118

2.
20
Lattice="7.169 0.000 0.000 0.000 10.054 0.000 0.000 0.000 7.052" Properties=species:S:1:pos:R:3 comment="BaZrS3 PBE-GGA optimized geometry" sg=Pnma e_tot_ev_per_atom=-6.380 rho_kg_m3=4243 pbc="T T T"
Ba 3.232 7.541 3.597
Ba 6.817 7.541 6.981
Ba 3.937 2.514 3.455
Ba 0.352 2.514 0.071
S 5.101 9.712 5.017
S 0.047 7.541 3.071
S 5.101 5.369 5.017
S 2.068 0.342 2.036
S 5.652 4.685 1.490
S 1.517 9.712 5.562
S 3.631 7.541 0.455
S 3.538 2.514 6.597
S 1.517 5.369 5.562
S 7.122 2.514 3.981
S 2.068 4.685 2.036
S 5.652 0.342 1.490
Zr 0.000 5.027 3.526
Zr 3.585 5.027 0.000
Zr 3.585 0.000 0.000
Zr 0.000 0.000 3.526

3.
9
Lattice="7.043 -2.125 0.000 7.043 2.125 0.000 -4.728 0.000 8.230" Properties=species:S:1:pos:R:3 comment="Th4Bi3N2 PBE-GGA optimized geometry" sg=C2/m e_tot_ev_per_atom=-7.607 rho_kg_m3=10672 pbc="T T T"
Bi 5.175 0.000 5.833
Bi 4.183 0.000 2.396
Bi 0.000 0.000 0.000
Th -0.202 0.000 3.405
Th 9.137 0.000 1.072
Th 0.221 0.000 7.158
Th 9.560 0.000 4.825
N 8.023 0.000 3.070
N 1.335 0.000 5.160